No. 1
A plane-wave DFT calculation with PBE-GGA was carried out for ScFe2Tc after structural relaxation.

Values from the calculation:
- Polymorph energy (0 for the lowest one): 0.081 eV per atom
- M_tot: 3.84 μB/f.u.
- Volume: 113.0 Å³ per cell

a = 5.262 Å, b = 8.314 Å, c = 2.685 Å
α = 90.00°, β = 105.96°, γ = 90.00°
Space group C2/m (No. 12)
One atom of each set of equivalent atoms:
Sc 0.000 0.000 0.000
Fe 0.250 0.250 0.500
Tc 0.000 0.500 0.000

---

No. 2
A plane-wave DFT calculation with PBE-GGA was carried out for Sc2FeTc after structural relaxation.

Values from the calculation:
- Electronic total energy: -62.7 eV/cell
- M_tot: 0.00 μB/f.u.
- Volume: 142.7 Å³ per cell

a = 8.681 Å, b = 3.820 Å, c = 4.885 Å
α = 90.00°, β = 118.26°, γ = 90.00°
Space group Cm (No. 8)
One atom of each set of equivalent atoms:
Sc 0.000 0.000 0.000
Sc 0.198 0.000 0.675
Fe 0.422 0.000 0.326
Tc 0.285 0.500 0.330

---

No. 3
A plane-wave DFT calculation with PBE-GGA was carried out for ScFe2Tc after structural relaxation.

Values from the calculation:
- Polymorph energy (0 for the lowest one): 0.000 eV per atom
- M_tot: 3.45 μB/f.u.
- Volume: 57.6 Å³ per cell

a = 3.014 Å, b = 3.014 Å, c = 6.341 Å
α = 90.00°, β = 90.00°, γ = 90.00°
Space group P4mm (No. 99)
One atom of each set of equivalent atoms:
Sc 0.000 0.000 0.000
Fe 0.000 0.000 0.522
Fe 0.500 0.500 0.727
Tc 0.500 0.500 0.304

---

No. 4
A plane-wave DFT calculation with PBE-GGA was carried out for ScFe2Tc after structural relaxation.

Values from the calculation:
- Polymorph energy (0 for the lowest one): 0.077 eV per atom
- M_tot: 3.92 μB/f.u.
- Volume: 57.5 Å³ per cell

a = 2.719 Å, b = 4.132 Å, c = 5.290 Å
α = 90.00°, β = 104.54°, γ = 90.00°
Space group P2/m (No. 10)
One atom of each set of equivalent atoms:
Sc 0.000 0.000 0.000
Fe 0.262 0.500 0.726
Tc 0.500 0.000 0.500

---

No. 5
A plane-wave DFT calculation with PBE-GGA was carried out for Sc6Fe2Tc after structural relaxation.

Values from the calculation:
- Electronic total energy: -264.7 eV/cell
- M_tot: 1.96 μB/f.u.
- Volume: 692.3 Å³ per cell

a = 8.607 Å, b = 8.921 Å, c = 9.016 Å
α = 90.00°, β = 90.00°, γ = 90.00°
Space group Immm (No. 71)
One atom of each set of equivalent atoms:
Sc 0.000 0.197 0.172
Sc 0.177 0.236 0.500
Sc 0.191 0.500 0.235
Fe 0.000 0.000 0.383
Fe 0.164 0.000 0.000
Tc 0.000 0.500 0.000
Tc 0.000 0.500 0.500

---

No. 6
A plane-wave DFT calculation with PBE-GGA was carried out for ScFe2Tc after structural relaxation.

Values from the calculation:
- Polymorph energy (0 for the lowest one): 0.063 eV per atom
- M_tot: 4.04 μB/f.u.
- Volume: 115.0 Å³ per cell

a = 3.114 Å, b = 4.280 Å, c = 8.627 Å
α = 90.00°, β = 90.00°, γ = 90.00°
Space group Immm (No. 71)
One atom of each set of equivalent atoms:
Sc 0.000 0.000 0.000
Fe 0.000 0.500 0.237
Tc 0.000 0.000 0.500

---

No. 7
A plane-wave DFT calculation with PBE-GGA was carried out for ScFeTc4 after structural relaxation.

Values from the calculation:
- Electronic total energy: -221.9 eV/cell
- M_tot: 3.05 μB/f.u.
- Volume: 387.9 Å³ per cell

a = 7.293 Å, b = 7.293 Å, c = 7.293 Å
α = 90.00°, β = 90.00°, γ = 90.00°
Space group F-43m (No. 216)
One atom of each set of equivalent atoms:
Sc 0.000 0.000 0.000
Fe 0.250 0.250 0.250
Tc 0.125 0.125 0.625

---

No. 8
A plane-wave DFT calculation with PBE-GGA was carried out for Sc2FeTc after structural relaxation.

Values from the calculation:
- Electronic total energy: -91.5 eV/cell
- M_tot: 1.84 μB/f.u.
- Volume: 214.4 Å³ per cell

a = 3.0097 Å, b = 3.0097 Å, c = 27.3251 Å
α = 90.00°, β = 90.00°, γ = 120.00°
Space group R3m (No. 160, hexagonal axes)
One atom of each set of equivalent atoms:
Sc 0.0000 0.0000 0.0000
Sc 0.0000 0.0000 0.2263
Fe 0.0000 0.0000 0.7448
Tc 0.0000 0.0000 0.4794